# 1
Entry from Alexandria: crystalline Ba2LiTeBr at its relaxed geometry (PBE).

Cell and atoms, written as CIF:
```
data_Ba2LiTeBr
_symmetry_space_group_name_H-M 'P 4/m m m'
_symmetry_Int_Tables_number 123
_symmetry_space_group_name_Hall '-P 4 2'
_cell_length_a 6.320
_cell_length_b 6.320
_cell_length_c 4.649
_cell_angle_alpha 90.00
_cell_angle_beta 90.00
_cell_angle_gamma 90.00
loop_
_atom_site_label
_atom_site_type_symbol
_atom_site_fract_x
_atom_site_fract_y
_atom_site_fract_z
Ba1 Ba 0.000 0.500 0.000
Li1 Li 0.000 0.000 0.500
Te1 Te 0.500 0.500 0.500
Br1 Br 0.000 0.000 0.000
```

DOS(E_F) (states/eV/f.u.): 3.32
Size of the total moment (Bohr magnetons per cell): 0.00
ΔE_f (raw) (meV/atom): -991.8

=====

# 2
Entry from Alexandria: crystalline BaLiTeBr at its relaxed geometry (PBE).

Cell and atoms, written as CIF:
```
data_BaLiTeBr
_symmetry_space_group_name_H-M 'R -3 m'
_symmetry_Int_Tables_number 166
_symmetry_space_group_name_Hall '-R 3 2"'
_cell_length_a 5.0127
_cell_length_b 5.0127
_cell_length_c 39.7536
_cell_angle_alpha 90.00
_cell_angle_beta 90.00
_cell_angle_gamma 120.00
loop_
_atom_site_label
_atom_site_type_symbol
_atom_site_fract_x
_atom_site_fract_y
_atom_site_fract_z
Ba1 Ba 0.0000 0.0000 0.1148
Li1 Li 0.0000 0.0000 0.3185
Te1 Te 0.0000 0.0000 0.0000
Te2 Te 0.0000 0.0000 0.5000
Br1 Br 0.0000 0.0000 0.2533
```

DOS(E_F) (states/eV/f.u.): 0.00
Size of the total moment (Bohr magnetons per cell): 0.00
ΔE_f (raw) (meV/atom): -1585.9